1.
A geometry-optimized La3SbOs structure, computed with GGA-PBE.

The structure belongs to space group C2/m (No. 12); the cell edges are 12.807, 4.431 and 11.151 Å and the angles 90.00°, 104.43° and 90.00°. The distinct sites, in fractional coordinates, are La at (0.095, 0.000, 0.390), La at (0.132, 0.500, 0.113), La at (0.144, 0.500, 0.677), Sb at (0.091, 0.000, 0.885) and Os at (0.227, 0.500, 0.388).

Its energy relative to the elements, uncorrected is -0.531 eV per atom. For the total magnetic moment, the calculation gives 0.00 μB per formula unit. The polymorph energy (0 for the lowest one) is 0 meV per atom. The total energy comes out at -6.56 eV per atom. The value obtained for the calculated volume is 30.6 A^3/atom.



2.
A geometry-optimized La2SbOs structure, computed with GGA-PBE.

The structure belongs to space group Amm2 (No. 38); the cell edges are 4.285, 4.525 and 11.428 Å and the angles 90.00°, 90.00° and 90.00°. The distinct sites, in fractional coordinates, are La at (0.000, 0.000, 0.000), La at (0.500, 0.000, 0.287), Sb at (0.500, 0.000, 0.584) and Os at (0.000, 0.000, 0.739).

Its energy relative to the elements, uncorrected is -0.460 eV per atom. For the total magnetic moment, the calculation gives 0.00 μB per formula unit. The total energy comes out at -6.76 eV per atom. The value obtained for the calculated volume is 27.7 A^3/atom.



3.
A geometry-optimized La5SbOs2 structure, computed with GGA-PBE.

The structure belongs to space group I4/mcm (No. 140); the cell edges are 8.105, 8.105 and 14.005 Å and the angles 90.00°, 90.00° and 90.00°. The distinct sites, in fractional coordinates, are La at (0.000, 0.000, 0.000), La at (0.160, 0.340, 0.132), Sb at (0.000, 0.000, 0.250) and Os at (0.140, 0.360, 0.500).

Its energy relative to the elements, uncorrected is -0.460 eV per atom. For the total magnetic moment, the calculation gives 0.00 μB per formula unit. The total energy comes out at -6.86 eV per atom. The value obtained for the calculated volume is 28.7 A^3/atom.



4.
A geometry-optimized LaSb3Os structure, computed with GGA-PBE.

The structure belongs to space group Pm-3m (No. 221); the cell edges are 5.228, 5.228 and 5.228 Å and the angles 90.00°, 90.00° and 90.00°. The distinct sites, in fractional coordinates, are La at (0.000, 0.000, 0.000), Sb at (0.000, 0.500, 0.500) and Os at (0.500, 0.500, 0.500).

Its energy relative to the elements, uncorrected is 0.173 eV per atom. For the total magnetic moment, the calculation gives 0.00 μB per formula unit. The polymorph energy (0 for the lowest one) is 0 meV per atom. The total energy comes out at -5.53 eV per atom. The value obtained for the calculated volume is 28.6 A^3/atom.



5.
A geometry-optimized LaSb3Os structure, computed with GGA-PBE.

The structure belongs to space group Pm-3m (No. 221); the cell edges are 5.949, 5.949 and 5.949 Å and the angles 90.00°, 90.00° and 90.00°. The distinct sites, in fractional coordinates, are La at (0.000, 0.000, 0.000), Sb at (0.000, 0.000, 0.500) and Os at (0.500, 0.500, 0.500).

Its energy relative to the elements, uncorrected is 1.825 eV per atom. For the total magnetic moment, the calculation gives 3.60 μB per formula unit. The polymorph energy (0 for the lowest one) is 1653 meV per atom. The total energy comes out at -3.88 eV per atom. The value obtained for the calculated volume is 42.1 A^3/atom.



6.
A geometry-optimized La2SbOs structure, computed with GGA-PBE.

The structure belongs to space group P4mm (No. 99); the cell edges are 3.435, 3.435 and 9.215 Å and the angles 90.00°, 90.00° and 90.00°. The distinct sites, in fractional coordinates, are La at (0.000, 0.000, 0.000), La at (0.500, 0.500, 0.384), Sb at (0.500, 0.500, 0.749) and Os at (0.000, 0.000, 0.599).

Its energy relative to the elements, uncorrected is -0.029 eV per atom. For the total magnetic moment, the calculation gives 0.31 μB per formula unit. The total energy comes out at -6.33 eV per atom. The value obtained for the calculated volume is 27.2 A^3/atom.



7.
A geometry-optimized La2SbOs structure, computed with GGA-PBE.

The structure belongs to space group R3m (No. 160, hexagonal axes); the cell edges are 4.7384, 4.7384 and 16.2303 Å and the angles 90.00°, 90.00° and 120.00°. The distinct sites, in fractional coordinates, are La at (0.0000, 0.0000, 0.0000), La at (0.0000, 0.0000, 0.2115), Sb at (0.0000, 0.0000, 0.7787) and Os at (0.0000, 0.0000, 0.4226).

Its energy relative to the elements, uncorrected is -0.362 eV per atom. For the total magnetic moment, the calculation gives 0.00 μB per formula unit. The total energy comes out at -6.66 eV per atom. The value obtained for the calculated volume is 26.3 A^3/atom.



8.
A geometry-optimized La3SbOs structure, computed with GGA-PBE.

The structure belongs to space group Pm-3m (No. 221); the cell edges are 5.530, 5.530 and 5.530 Å and the angles 90.00°, 90.00° and 90.00°. The distinct sites, in fractional coordinates, are La at (0.000, 0.000, 0.500), Sb at (0.500, 0.500, 0.500) and Os at (0.000, 0.000, 0.000).

Its energy relative to the elements, uncorrected is -0.436 eV per atom. For the total magnetic moment, the calculation gives 0.00 μB per formula unit. The polymorph energy (0 for the lowest one) is 94 meV per atom. The total energy comes out at -6.46 eV per atom. The value obtained for the calculated volume is 33.8 A^3/atom.



9.
A geometry-optimized La2SbOs structure, computed with GGA-PBE.

The structure belongs to space group F-43m (No. 216); the cell edges are 7.267, 7.267 and 7.267 Å and the angles 90.00°, 90.00° and 90.00°. The distinct sites, in fractional coordinates, are La at (0.000, 0.000, 0.000), La at (0.250, 0.250, 0.250), Sb at (0.250, 0.250, 0.750) and Os at (0.000, 0.000, 0.500).

Its energy relative to the elements, uncorrected is -0.076 eV per atom. For the total magnetic moment, the calculation gives 0.00 μB per formula unit. The total energy comes out at -6.38 eV per atom. The value obtained for the calculated volume is 24.0 A^3/atom.



10.
A geometry-optimized LaSiSbOs2 structure, computed with GGA-PBE.

The structure belongs to space group P4/mmm (No. 123); the cell edges are 4.897, 4.897 and 5.095 Å and the angles 90.00°, 90.00° and 90.00°. The distinct sites, in fractional coordinates, are La at (0.000, 0.000, 0.000), Si at (0.500, 0.500, 0.000), Sb at (0.500, 0.500, 0.500) and Os at (0.000, 0.500, 0.500).

Its energy relative to the elements, uncorrected is 1.152 eV per atom. For the total magnetic moment, the calculation gives 0.00 μB per formula unit. The total energy comes out at -6.23 eV per atom. The value obtained for the calculated volume is 24.4 A^3/atom.



11.
A geometry-optimized SrLa2SbOs structure, computed with GGA-PBE.

The structure belongs to space group P4/mmm (No. 123); the cell edges are 5.739, 5.739 and 5.538 Å and the angles 90.00°, 90.00° and 90.00°. The distinct sites, in fractional coordinates, are Sr at (0.000, 0.000, 0.000), La at (0.000, 0.500, 0.000), Sb at (0.000, 0.000, 0.500) and Os at (0.500, 0.500, 0.500).

Its energy relative to the elements, uncorrected is 1.731 eV per atom. For the total magnetic moment, the calculation gives 2.18 μB per formula unit. The total energy comes out at -3.65 eV per atom. The value obtained for the calculated volume is 36.5 A^3/atom.



12.
A geometry-optimized LaSbTe2Os structure, computed with GGA-PBE.

The structure belongs to space group P4/mmm (No. 123); the cell edges are 5.519, 5.519 and 4.900 Å and the angles 90.00°, 90.00° and 90.00°. The distinct sites, in fractional coordinates, are La at (0.000, 0.000, 0.000), Sb at (0.500, 0.500, 0.000), Te at (0.000, 0.500, 0.500) and Os at (0.500, 0.500, 0.500).

Its energy relative to the elements, uncorrected is -0.056 eV per atom. For the total magnetic moment, the calculation gives 0.00 μB per formula unit. The total energy comes out at -5.37 eV per atom. The value obtained for the calculated volume is 29.9 A^3/atom.